CsCeCoSe4 | PBE | relaxed

The calculation puts the final energy at -5.009 eV per atom. As for the uncorrected formation energy: -99.7 kJ/mol of atoms. The value obtained for the total moment is 2.691 μB/f.u.

It has space group P2_1/m (No. 11), with a = 6.940 Å, b = 6.150 Å, c = 10.049 Å, α = 90.00°, β = 105.93° and γ = 90.00°. Symmetry generates all atoms from Cs at (0.244, 0.250, 0.047), Ce at (0.259, 0.250, 0.548), Co at (0.239, 0.750, 0.342), Se at (0.010, 0.511, 0.696), Se at (0.410, 0.750, 0.577) and Se at (0.440, 0.750, 0.192).

***

CsCeCoSe3 | PBE | relaxed

The calculation puts the final energy at -5.252 eV per atom. As for the uncorrected formation energy: -115.2 kJ/mol of atoms. The value obtained for the total moment is 2.149 μB/f.u.

It has space group P2_1/m (No. 11), with a = 9.923 Å, b = 4.127 Å, c = 10.037 Å, α = 90.00°, β = 112.37° and γ = 90.00°. Symmetry generates all atoms from Cs at (0.207, 0.250, 0.238), Ce at (0.320, 0.750, 0.838), Co at (0.078, 0.250, 0.585), Se at (0.122, 0.250, 0.843), Se at (0.177, 0.750, 0.529) and Se at (0.468, 0.750, 0.154).

***

Cs2Ce2CoSe6 | PBE | relaxed

The calculation puts the final energy at -4.971 eV per atom. As for the uncorrected formation energy: -114.9 kJ/mol of atoms. The value obtained for the total moment is 1.118 μB/f.u.

It has space group C2/m (No. 12), with a = 7.138 Å, b = 12.038 Å, c = 8.901 Å, α = 90.00°, β = 106.53° and γ = 90.00°. Symmetry generates all atoms from Cs at (0.000, 0.174, 0.000), Ce at (0.000, 0.331, 0.500), Co at (0.000, 0.000, 0.500), Se at (0.215, 0.146, 0.676) and Se at (0.228, 0.000, 0.331).

***

Ce8Co2Cu | PBE | relaxed

The value obtained for the formation energy is -4 kJ/mol of formula units. The calculation puts the final energy at -5.984 eV per atom. The value obtained for the total moment is 2.316 μB/f.u.

It has space group Cm (No. 8), with a = 7.089 Å, b = 13.556 Å, c = 6.357 Å, α = 90.00°, β = 120.31° and γ = 90.00°. Symmetry generates all atoms from Ce at (0.000, 0.000, 0.000), Ce at (0.099, 0.134, 0.557), Ce at (0.155, 0.365, 0.863), Ce at (0.228, 0.500, 0.370), Ce at (0.368, 0.219, 0.217), Co at (0.378, 0.306, 0.708) and Cu at (0.381, 0.000, 0.457).